No. 1
The following is a PBE calculation of a relaxed KInRe2 crystal, from Alexandria.

abc: 5.3584 5.3584 6.4109
angles: 100.26 100.26 39.04
Sites, in units of the cell vectors:
K  0.0000  0.0000  0.0000
In  0.5000  0.5000  0.5000
Re  0.2365  0.2365  0.6100
Re  0.7635  0.7635  0.3900

Calculated values
Formation energy ... 0.9771 eV per atom


No. 2
The following is a PBE calculation of a relaxed K2InRe crystal, from Alexandria.

abc: 6.7123 6.7123 2.9751
angles: 100.14 100.14 128.17
Sites, in units of the cell vectors:
K  0.0000  0.5000  0.0000
K  0.5000  0.0000  0.0000
In  0.0000  0.0000  0.5000
Re  0.5000  0.5000  0.5000

Calculated values
Formation energy ... 1.1076 eV per atom


No. 3
The following is a PBE calculation of a relaxed KInRe2 crystal, from Alexandria.

abc: 2.7866 2.7866 10.5924
angles: 90.00 90.00 110.11
Sites, in units of the cell vectors:
K  0.0000  0.0000  0.0000
In  0.0000  0.0000  0.5000
Re  0.5000  0.5000  0.2799
Re  0.5000  0.5000  0.7201

Calculated values
Formation energy ... 1.0870 eV per atom


no.,ρ (g/cm3)
1,7.68
2,6.53
3,11.32